[1]
VASP calculation (GGA-PBE) on a relaxed structure of In2NiTe2.

abc: 5.879 5.879 5.799
angles: 59.54 59.54 90.00
Fractional positions:
Ni1 0.000 0.000 0.000
Te1 0.750 0.250 0.500
Te2 0.250 0.750 0.500
In1 0.326 0.326 0.347
In2 0.674 0.674 0.653

Output
Formation energy without anion corrections (eV/atom): 0.325

[2]
VASP calculation (GGA-PBE) on a relaxed structure of LiH4Ir.

abc: 4.701 4.886 6.263
angles: 115.84 115.01 83.00
Fractional positions:
Li1 0.420 0.670 0.340
Li2 0.580 0.330 0.660
H1 0.956 0.140 0.865
H2 0.789 0.673 0.659
H3 0.409 0.725 0.865
H4 0.370 0.986 0.659
H5 0.630 0.014 0.341
H6 0.591 0.275 0.135
H7 0.211 0.327 0.341
H8 0.044 0.860 0.135
Ir1 0.313 0.063 0.126
Ir2 0.687 0.937 0.874

no.,total magnetization (Bohr magnetons per cell),E above lowest polymorph (meV/atom)
1,0.00,292.6
2,0.00,0.0